Version P
VASP calculation (PBE-GGA) on a geometry-optimized LaWBr structure.

Cell lengths 3.1938, 3.1938, 7.6759 Å; angles 90.00, 90.00, 120.00 degrees
Fractional positions:
La (0.0000, 0.0000, 0.0000)
W (0.6667, 0.3333, 0.3590)
Br (0.3333, 0.6667, 0.6152)

N(E_F) = 2.8 states/eV/cell
total moment = 0.00 μB per formula unit



Version Q
VASP calculation (PBE-GGA) on a geometry-optimized LaWBr structure.

Cell lengths 6.8558, 6.8558, 6.8558 Å; angles 90.00, 90.00, 90.00 degrees
Fractional positions:
La (0.0000, 0.0000, 0.0000)
La (0.0000, 0.5000, 0.5000)
La (0.5000, 0.0000, 0.5000)
La (0.5000, 0.5000, 0.0000)
W (0.0000, 0.0000, 0.5000)
W (0.0000, 0.5000, 0.0000)
W (0.5000, 0.0000, 0.0000)
W (0.5000, 0.5000, 0.5000)
Br (0.2500, 0.2500, 0.7500)
Br (0.2500, 0.7500, 0.2500)
Br (0.7500, 0.2500, 0.2500)
Br (0.7500, 0.7500, 0.7500)

N(E_F) = 17.8 states/eV/cell
total moment = 2.32 μB per formula unit



version P wins, 43.1 kJ/mol of atoms ahead of the next structure.



Version P
VASP calculation (PBE-GGA) on a geometry-optimized LaWBr structure.

Cell lengths 7.3161, 7.3161, 7.3161 Å; angles 90.00, 90.00, 90.00 degrees
Fractional positions:
La (0.0000, 0.0000, 0.0000)
La (0.0000, 0.5000, 0.5000)
La (0.5000, 0.0000, 0.5000)
La (0.5000, 0.5000, 0.0000)
W (0.2500, 0.2500, 0.7500)
W (0.2500, 0.7500, 0.2500)
W (0.7500, 0.2500, 0.2500)
W (0.7500, 0.7500, 0.7500)
Br (0.2500, 0.2500, 0.2500)
Br (0.2500, 0.7500, 0.7500)
Br (0.7500, 0.2500, 0.7500)
Br (0.7500, 0.7500, 0.2500)

N(E_F) = 9.5 states/eV/cell
total moment = 4.00 μB per formula unit



Version Q
VASP calculation (PBE-GGA) on a geometry-optimized LaWBr structure.

Cell lengths 4.5514, 4.5916, 14.4656 Å; angles 90.00, 90.00, 90.00 degrees
Fractional positions:
La (0.0000, 0.0000, 0.0000)
La (0.0000, 0.5000, 0.5000)
La (0.5000, 0.0000, 0.5000)
La (0.5000, 0.5000, 0.0000)
W (0.0000, 0.0000, 0.6542)
W (0.0000, 0.5000, 0.1542)
W (0.5000, 0.0000, 0.1542)
W (0.5000, 0.5000, 0.6542)
Br (0.0000, 0.0000, 0.3466)
Br (0.0000, 0.5000, 0.8466)
Br (0.5000, 0.0000, 0.8466)
Br (0.5000, 0.5000, 0.3466)

N(E_F) = 11.3 states/eV/cell
total moment = 0.57 μB per formula unit



version Q wins, 56.6 kJ/mol of atoms ahead of the next structure.